# BeZnFeAu

A relaxed structure of BeZnFeAu (PBE, OQMD). Values from VASP.

Quantum ESPRESSO input file:
```
&SYSTEM
  ibrav = 0, nat = 16, ntyp = 4
/
ATOMIC_SPECIES
Be 9.01 Be.upf
Zn 65.41 Zn.upf
Fe 55.84 Fe.upf
Au 196.97 Au.upf
CELL_PARAMETERS angstrom
5.9807 0.0000 0.0000
0.0000 5.9807 0.0000
0.0000 0.0000 5.9807
ATOMIC_POSITIONS crystal
Be 0.0000 0.0000 0.0000
Be 0.0000 0.5000 0.5000
Be 0.5000 0.0000 0.5000
Be 0.5000 0.5000 0.0000
Zn 0.2500 0.2500 0.2500
Zn 0.2500 0.7500 0.7500
Zn 0.7500 0.2500 0.7500
Zn 0.7500 0.7500 0.2500
Fe 0.0000 0.0000 0.5000
Fe 0.0000 0.5000 0.0000
Fe 0.5000 0.0000 0.0000
Fe 0.5000 0.5000 0.5000
Au 0.2500 0.2500 0.7500
Au 0.2500 0.7500 0.2500
Au 0.7500 0.2500 0.2500
Au 0.7500 0.7500 0.7500
```

Values from the calculation:
calculated total energy	-4.025	eV/atom
symmetry	F-43m (216)